# 1
## La3PbN (PBE-GGA)

Data for a relaxed La3PbN crystal.

The space group is Cmcm (No. 63) and the conventional cell measures 7.530, 18.489 and 6.193 Å, with angles of 90.00, 90.00 and 90.00 degrees. The inequivalent atoms are La at (0.000, 0.000, 0.000), La at (0.247, 0.326, 0.250), Pb at (0.000, 0.164, 0.250) and N at (0.000, 0.374, 0.250).

Its calculated volume is 43.11 A^3/atom. The calculation puts the density of states at the Fermi level at 10.114 states/eV per cell. Its crystal system is orthorhombic. As for the total moment: 1.423 μB/cell. For the uncorrected energy, the calculation gives -111.70 eV/cell. The calculation puts the density at 4.91 g cm⁻³. The formation energy (no corrections) comes out at -0.222 eV per atom.

=====

# 2
## Sc3InTc (PBE-GGA)

Data for a relaxed Sc3InTc crystal.

The space group is Pmma (No. 51) and the conventional cell measures 8.858, 3.199 and 7.562 Å, with angles of 90.00, 90.00 and 90.00 degrees. The inequivalent atoms are Sc at (0.050, 0.000, 0.210), Sc at (0.250, 0.000, 0.556), In at (0.250, 0.500, 0.916) and Tc at (0.000, 0.500, 0.500).

Its calculated volume is 21.43 A^3/atom. The calculation puts the density of states at the Fermi level at 8.798 states/eV per cell. Its crystal system is orthorhombic. As for the total moment: 0.000 μB/cell. For the uncorrected energy, the calculation gives -66.62 eV/cell. For the offset from the most stable computed form, the calculation gives 0.00 eV per formula unit. The calculation puts the density at 5.39 g cm⁻³. For the formation energy, the calculation gives -0.24 eV per atom.

=====

# 3
## NbTcRhW2 (PBE-GGA)

Data for a relaxed NbTcRhW2 crystal.

The space group is P4/mmm (No. 123) and the conventional cell measures 4.676, 4.676 and 4.602 Å, with angles of 90.00, 90.00 and 90.00 degrees. The inequivalent atoms are Nb at (0.000, 0.000, 0.000), Tc at (0.500, 0.500, 0.500), Rh at (0.500, 0.500, 0.000) and W at (0.000, 0.500, 0.500).

Its calculated volume is 20.12 A^3/atom. The calculation puts the density of states at the Fermi level at 7.188 states/eV per cell. Its crystal system is tetragonal. As for the total moment: 0.000 μB/cell. For the uncorrected energy, the calculation gives -45.45 eV/cell. The calculation puts the density at 10.92 g cm⁻³. For the formation energy, the calculation gives 1.65 eV per atom.

=====

# 4
## PuTlPd (PBE-GGA)

Data for a relaxed PuTlPd crystal.

The space group is C2/m (No. 12) and the conventional cell measures 5.200, 4.276 and 11.369 Å, with angles of 90.00, 93.27 and 90.00 degrees. The inequivalent atoms are Pu at (0.200, 0.000, 0.050), Tl at (0.235, 0.000, 0.386) and Pd at (0.207, 0.500, 0.216).

Its calculated volume is 21.03 A^3/atom. The calculation puts the density of states at the Fermi level at 14.220 states/eV per cell. Its crystal system is monoclinic. As for the total moment: 0.000 μB/cell. For the uncorrected energy, the calculation gives -88.22 eV/cell. The calculation puts the density at 14.60 g cm⁻³. For the formation energy, the calculation gives -0.05 eV per atom.

=====

# 5
## LaCrInSi2 (PBE-GGA)

Data for a relaxed LaCrInSi2 crystal.

The space group is P4/mmm (No. 123) and the conventional cell measures 5.123, 5.123 and 5.012 Å, with angles of 90.00, 90.00 and 90.00 degrees. The inequivalent atoms are La at (0.000, 0.000, 0.000), Cr at (0.500, 0.500, 0.000), In at (0.500, 0.500, 0.500) and Si at (0.000, 0.500, 0.500).

Its calculated volume is 26.30 A^3/atom. The calculation puts the density of states at the Fermi level at 2.978 states/eV per cell. Its crystal system is tetragonal. As for the total moment: 4.678 μB/cell. For the uncorrected energy, the calculation gives -24.55 eV/cell. The calculation puts the density at 4.57 g cm⁻³. The formation energy (no corrections) comes out at 0.718 eV per atom.

=====

# 6
## TlTe2 (PBE-GGA)

Data for a relaxed TlTe2 crystal.

The space group is Pnma (No. 62) and the conventional cell measures 6.835, 5.418 and 12.403 Å, with angles of 90.00, 90.00 and 90.00 degrees. The inequivalent atoms are Tl at (0.242, 0.250, 0.141), Te at (0.146, 0.750, 0.364) and Te at (0.247, 0.250, 0.428).

Its calculated volume is 38.28 A^3/atom. The calculation puts the density of states at the Fermi level at 2.529 states/eV per cell. Its crystal system is orthorhombic. As for the total moment: 0.000 μB/cell. For the uncorrected energy, the calculation gives -35.61 eV/cell. For the offset from the most stable computed form, the calculation gives 0.16 eV per formula unit. The calculation puts the density at 6.65 g cm⁻³. The formation energy (no corrections) comes out at -0.084 eV per atom.